(1)
# RbSiOs

RbSiOs after structural relaxation (PBE-GGA, OQMD).

Cell and atoms, written as CIF:
```
data_RbSiOs
_chemical_formula_sum 'Rb1 Si1 Os1'
_cell_length_a 4.983
_cell_length_b 4.983
_cell_length_c 4.983
_cell_angle_alpha 60.00
_cell_angle_beta 60.00
_cell_angle_gamma 60.00
_space_group_name_H-M_alt 'P 1'
_space_group_IT_number 1
_space_group_name_Hall 'P 1'
loop_
_atom_site_label
_atom_site_type_symbol
_atom_site_fract_x
_atom_site_fract_y
_atom_site_fract_z
_atom_site_occupancy
Rb1 Rb 0.000 0.000 0.000 1
Si1 Si 0.250 0.250 0.250 1
Os1 Os 0.750 0.750 0.750 1
```

- ΔE to the lowest computed polymorph (kJ/mol of formula units) = 384.5
- total magnetization (μB/f.u.) = 1.58
- space group = F-43m, No. 216


(2)
# HfCo2Pd

HfCo2Pd after structural relaxation (PBE-GGA, OQMD).

Cell and atoms, written as CIF:
```
data_HfCo2Pd
_chemical_formula_sum 'Hf1 Co2 Pd1'
_cell_length_a 4.347
_cell_length_b 4.347
_cell_length_c 4.347
_cell_angle_alpha 60.00
_cell_angle_beta 60.00
_cell_angle_gamma 60.00
_space_group_name_H-M_alt 'P 1'
_space_group_IT_number 1
_space_group_name_Hall 'P 1'
loop_
_atom_site_label
_atom_site_type_symbol
_atom_site_fract_x
_atom_site_fract_y
_atom_site_fract_z
_atom_site_occupancy
Hf1 Hf 0.000 0.000 0.000 1
Co1 Co 0.250 0.250 0.250 1
Co2 Co 0.500 0.500 0.500 1
Pd1 Pd 0.750 0.750 0.750 1
```

- total magnetization (μB/f.u.) = 2.38
- calculated total energy (eV/cell) = -29.99
- space group = F-43m, No. 216


(3)
# DyHoCN2O2

DyHoCN2O2 after structural relaxation (PBE-GGA, OQMD).

Cell and atoms, written as CIF:
```
data_DyHoCN2O2
_chemical_formula_sum 'Dy1 Ho1 C1 N2 O2'
_cell_length_a 3.692
_cell_length_b 3.692
_cell_length_c 8.129
_cell_angle_alpha 90.00
_cell_angle_beta 90.00
_cell_angle_gamma 120.00
_space_group_name_H-M_alt 'P 1'
_space_group_IT_number 1
_space_group_name_Hall 'P 1'
loop_
_atom_site_label
_atom_site_type_symbol
_atom_site_fract_x
_atom_site_fract_y
_atom_site_fract_z
_atom_site_occupancy
Dy1 Dy 0.000 0.000 0.000 1
Ho1 Ho 0.333 0.667 0.354 1
C1 C 0.667 0.333 0.677 1
N1 N 0.667 0.333 0.525 1
N2 N 0.667 0.333 0.829 1
O1 O 0.000 0.000 0.281 1
O2 O 0.333 0.667 0.075 1
```

- total magnetization (μB/f.u.) = 0.00
- calculated total energy (eV/cell) = -60.34
- space group = P3m1, No. 156


(4)
# Pr2SmIn3AgPd2

Pr2SmIn3AgPd2 after structural relaxation (PBE-GGA, OQMD).

Cell and atoms, written as CIF:
```
data_Pr2SmIn3AgPd2
_chemical_formula_sum 'Pr2 Sm1 In3 Ag1 Pd2'
_cell_length_a 4.051
_cell_length_b 7.850
_cell_length_c 7.850
_cell_angle_alpha 119.99
_cell_angle_beta 90.00
_cell_angle_gamma 90.00
_space_group_name_H-M_alt 'P 1'
_space_group_IT_number 1
_space_group_name_Hall 'P 1'
loop_
_atom_site_label
_atom_site_type_symbol
_atom_site_fract_x
_atom_site_fract_y
_atom_site_fract_z
_atom_site_occupancy
Pr1 Pr 0.000 0.207 0.793 1
Pr2 Pr 0.000 0.793 0.207 1
Sm1 Sm 0.000 0.380 0.380 1
In1 In 0.500 0.055 0.055 1
In2 In 0.500 0.533 0.791 1
In3 In 0.500 0.791 0.533 1
Ag1 Ag 0.000 0.792 0.792 1
Pd1 Pd 0.500 0.129 0.459 1
Pd2 Pd 0.500 0.459 0.129 1
```

- total magnetization (μB/f.u.) = 0.01
- calculated total energy (eV/cell) = -41.70
- space group = Amm2, No. 38


Please write out number 1 again, unchanged.
# RbSiOs

RbSiOs after structural relaxation (PBE-GGA, OQMD).

Cell and atoms, written as CIF:
```
data_RbSiOs
_chemical_formula_sum 'Rb1 Si1 Os1'
_cell_length_a 4.983
_cell_length_b 4.983
_cell_length_c 4.983
_cell_angle_alpha 60.00
_cell_angle_beta 60.00
_cell_angle_gamma 60.00
_space_group_name_H-M_alt 'P 1'
_space_group_IT_number 1
_space_group_name_Hall 'P 1'
loop_
_atom_site_label
_atom_site_type_symbol
_atom_site_fract_x
_atom_site_fract_y
_atom_site_fract_z
_atom_site_occupancy
Rb1 Rb 0.000 0.000 0.000 1
Si1 Si 0.250 0.250 0.250 1
Os1 Os 0.750 0.750 0.750 1
```

- ΔE to the lowest computed polymorph (kJ/mol of formula units) = 384.5
- total magnetization (μB/f.u.) = 1.58
- space group = F-43m, No. 216


Question: What is the formula in the third record?
Answer: DyHoCN2O2


Question: What is the total magnetization in the third record?
Answer: 0.00 μB/f.u.